Zn2PbSe3: relaxed, PBE.

CIF file:
```
data_Zn2PbSe3
_cell_length_a 7.052
_cell_length_b 7.052
_cell_length_c 10.576
_cell_angle_alpha 90.00
_cell_angle_beta 90.00
_cell_angle_gamma 147.47
_space_group_name_H-M_alt 'P 1'
_space_group_IT_number 1
loop_
_space_group_symop_operation_xyz
'x,y,z'
loop_
_atom_site_label
_atom_site_fract_x
_atom_site_fract_y
_atom_site_fract_z
Zn1 0.000 0.000 0.000
Zn2 0.000 0.000 0.500
Zn3 0.476 0.524 0.750
Zn4 0.524 0.476 0.250
Pb1 0.236 0.764 0.250
Pb2 0.764 0.236 0.750
Se1 0.086 0.914 0.750
Se2 0.372 0.628 0.560
Se3 0.372 0.628 0.940
Se4 0.628 0.372 0.060
Se5 0.628 0.372 0.440
Se6 0.914 0.086 0.250
```

Values from the calculation:
Symmetry: Cmcm, No. 63
VASP energy: -38.950 eV/cell
Volume: 282.8 Å³ per cell

SmSiPb: relaxed, PBE.

CIF file:
```
data_SmSiPb
_cell_length_a 4.957
_cell_length_b 4.957
_cell_length_c 4.957
_cell_angle_alpha 60.00
_cell_angle_beta 60.00
_cell_angle_gamma 60.00
_space_group_name_H-M_alt 'P 1'
_space_group_IT_number 1
loop_
_space_group_symop_operation_xyz
'x,y,z'
loop_
_atom_site_label
_atom_site_fract_x
_atom_site_fract_y
_atom_site_fract_z
Sm1 0.000 0.000 0.000
Si1 0.750 0.750 0.750
Pb1 0.500 0.500 0.500
```

Values from the calculation:
Symmetry: F-43m, No. 216
Volume: 86.1 Å³ per cell
Relative energy among the computed polymorphs: 0.00 kJ/mol of atoms

SmSiPb: relaxed, PBE.

CIF file:
```
data_SmSiPb
_cell_length_a 5.048
_cell_length_b 5.048
_cell_length_c 5.048
_cell_angle_alpha 60.00
_cell_angle_beta 60.00
_cell_angle_gamma 60.00
_space_group_name_H-M_alt 'P 1'
_space_group_IT_number 1
loop_
_space_group_symop_operation_xyz
'x,y,z'
loop_
_atom_site_label
_atom_site_fract_x
_atom_site_fract_y
_atom_site_fract_z
Sm1 0.000 0.000 0.000
Si1 0.250 0.250 0.250
Pb1 0.750 0.750 0.750
```

Values from the calculation:
Symmetry: F-43m, No. 216
Volume: 90.9 Å³ per cell
Relative energy among the computed polymorphs: 23.19 kJ/mol of atoms

Sm3SiPb: relaxed, PBE.

CIF file:
```
data_Sm3SiPb
_cell_length_a 6.650
_cell_length_b 6.650
_cell_length_c 6.650
_cell_angle_alpha 84.79
_cell_angle_beta 84.79
_cell_angle_gamma 84.79
_space_group_name_H-M_alt 'P 1'
_space_group_IT_number 1
loop_
_space_group_symop_operation_xyz
'x,y,z'
loop_
_atom_site_label
_atom_site_fract_x
_atom_site_fract_y
_atom_site_fract_z
Sm1 0.086 0.750 0.414
Sm2 0.250 0.586 0.914
Sm3 0.414 0.086 0.750
Sm4 0.586 0.914 0.250
Sm5 0.750 0.414 0.086
Sm6 0.914 0.250 0.586
Si1 0.250 0.250 0.250
Si2 0.750 0.750 0.750
Pb1 0.000 0.000 0.000
Pb2 0.500 0.500 0.500
```

Values from the calculation:
Symmetry: R-3c, No. 167
VASP energy: -49.015 eV/cell
Volume: 290.7 Å³ per cell

TaSiPb: relaxed, PBE.

CIF file:
```
data_TaSiPb
_cell_length_a 4.632
_cell_length_b 4.632
_cell_length_c 4.632
_cell_angle_alpha 60.00
_cell_angle_beta 60.00
_cell_angle_gamma 60.00
_space_group_name_H-M_alt 'P 1'
_space_group_IT_number 1
loop_
_space_group_symop_operation_xyz
'x,y,z'
loop_
_atom_site_label
_atom_site_fract_x
_atom_site_fract_y
_atom_site_fract_z
Ta1 0.000 0.000 0.000
Si1 0.250 0.250 0.250
Pb1 0.750 0.750 0.750
```

Values from the calculation:
Symmetry: F-43m, No. 216
Volume: 70.3 Å³ per cell
Relative energy among the computed polymorphs: 6.51 kJ/mol of atoms

TaSiPb: relaxed, PBE.

CIF file:
```
data_TaSiPb
_cell_length_a 4.535
_cell_length_b 4.535
_cell_length_c 4.535
_cell_angle_alpha 60.00
_cell_angle_beta 60.00
_cell_angle_gamma 60.00
_space_group_name_H-M_alt 'P 1'
_space_group_IT_number 1
loop_
_space_group_symop_operation_xyz
'x,y,z'
loop_
_atom_site_label
_atom_site_fract_x
_atom_site_fract_y
_atom_site_fract_z
Ta1 0.000 0.000 0.000
Si1 0.750 0.750 0.750
Pb1 0.500 0.500 0.500
```

Values from the calculation:
Symmetry: F-43m, No. 216
Volume: 66.0 Å³ per cell
Relative energy among the computed polymorphs: 0.00 kJ/mol of atoms